(1)
VASP calculation (PBE) on CoRuPt2 after structural relaxation.

Lattice parameters (Å, degrees): 4.724 2.717 4.725 90.00 109.74 90.00
Positions (direct):
Co  0.000  0.000  0.000
Ru  0.000  0.500  0.500
Pt  0.500  0.000  0.500
Pt  0.500  0.500  0.000

D(E_F)   5.17 states/eV per cell
ΔE_f   75 meV per atom
Uncorrected energy   -28.2 eV per cell

(2)
VASP calculation (PBE) on Pr3Mg5Ru2 after structural relaxation.

Lattice parameters (Å, degrees): 9.571 9.571 9.571 112.68 80.59 141.07
Positions (direct):
Pr  0.174  0.218  0.393
Pr  0.250  0.250  0.000
Pr  0.326  0.718  0.044
Pr  0.674  0.282  0.956
Pr  0.750  0.750  0.000
Pr  0.826  0.782  0.607
Mg  0.051  0.750  0.301
Mg  0.076  0.718  0.794
Mg  0.250  0.750  0.500
Mg  0.424  0.218  0.641
Mg  0.449  0.750  0.699
Mg  0.551  0.250  0.301
Mg  0.576  0.782  0.359
Mg  0.750  0.250  0.500
Mg  0.924  0.282  0.206
Mg  0.949  0.250  0.699
Ru  0.161  0.939  0.100
Ru  0.339  0.439  0.778
Ru  0.661  0.561  0.222
Ru  0.839  0.061  0.900

D(E_F)   15.59 states/eV per cell
ΔE_f   -40 meV per atom
Uncorrected energy   -82.5 eV per cell

(3)
VASP calculation (PBE) on TbNdZnNi after structural relaxation.

Lattice parameters (Å, degrees): 5.012 5.012 5.012 60.00 60.00 60.00
Positions (direct):
Tb  0.000  0.000  0.000
Nd  0.500  0.500  0.500
Zn  0.750  0.750  0.750
Ni  0.250  0.250  0.250

D(E_F)   3.20 states/eV per cell
ΔE_f   -280 meV per atom
Uncorrected energy   -17.6 eV per cell

(4)
VASP calculation (PBE) on RbFeN2 after structural relaxation.

Lattice parameters (Å, degrees): 7.124 7.124 7.124 25.18 25.18 25.18
Positions (direct):
Rb  0.000  0.000  0.000
Fe  0.500  0.500  0.500
N  0.124  0.124  0.124
N  0.876  0.876  0.876

D(E_F)   2.48 states/eV per cell
Formation energy (no corrections)   783 meV per atom
Uncorrected energy   -23.0 eV per cell

(5)
VASP calculation (PBE) on AlAg2Br after structural relaxation.

Lattice parameters (Å, degrees): 6.415 6.415 6.415 113.97 113.97 100.81
Positions (direct):
Al  0.000  0.000  0.000
Al  0.750  0.250  0.500
Ag  0.099  0.125  0.474
Ag  0.375  0.901  0.026
Ag  0.651  0.625  0.526
Ag  0.875  0.349  0.974
Br  0.250  0.750  0.500
Br  0.500  0.500  0.000

D(E_F)   0.02 states/eV per cell
Formation energy (no corrections)   133 meV per atom
Uncorrected energy   -21.2 eV per cell